[1]
AlTlAu2 after structural relaxation, computed with PBE.

Calculated values
Spin magnetization (μB per cell): 0.00
Energy above the most stable polymorph in this dataset (meV/atom): 218.5
Final energy (eV for the cell shown): -24.9

a = 4.624 Å, b = 4.624 Å, c = 7.600 Å
α = 90.00°, β = 90.00°, γ = 90.00°
Space group I4/mmm (No. 139)
Asymmetric unit:
Al  0.000  0.000  0.000 (multiplicity 2)
Tl  0.000  0.000  0.500 (multiplicity 2)
Au  0.000  0.500  0.250 (multiplicity 4)

***

[2]
AlTlAu2 after structural relaxation, computed with PBE.

Calculated values
Spin magnetization (μB per cell): 0.00
Energy above the most stable polymorph in this dataset (meV/atom): 226.6
Final energy (eV for the cell shown): -49.7

a = 6.905 Å, b = 6.905 Å, c = 6.905 Å
α = 90.00°, β = 90.00°, γ = 90.00°
Space group Fm-3m (No. 225)
Asymmetric unit:
Al  0.000  0.000  0.000 (multiplicity 4)
Tl  0.000  0.000  0.500 (multiplicity 4)
Au  0.250  0.250  0.250 (multiplicity 8)

***

What is the formula in the second record?
AlTlAu2